# 1
First-principles (meta-GGA SCAN) data for La2CoBr at its PBEsol-relaxed geometry, as listed in Alexandria via LeMat-Bulk.

Its crystal system is orthorhombic.

The structure belongs to space group Immm (No. 71); the cell edges are 4.2118, 6.0021 and 7.6431 Å and the angles 90.00°, 90.00° and 90.00°. Symmetry generates all atoms from La at (0.0000, 0.0000, 0.2209), Co at (0.0000, 0.5000, 0.5000) and Br at (0.0000, 0.5000, 0.0000).

# 2
First-principles (meta-GGA SCAN) data for LaCo2Br at its PBEsol-relaxed geometry, as listed in Alexandria via LeMat-Bulk.

Its crystal system is tetragonal.

The structure belongs to space group P4/mmm (No. 123); the cell edges are 3.8432, 3.8432 and 5.9470 Å and the angles 90.00°, 90.00° and 90.00°. Symmetry generates all atoms from La at (0.0000, 0.0000, 0.0000), Co at (0.5000, 0.5000, 0.1763) and Br at (0.0000, 0.0000, 0.5000).

# 3
First-principles (meta-GGA SCAN) data for La2CoBr at its PBEsol-relaxed geometry, as listed in Alexandria via LeMat-Bulk.

Its crystal system is orthorhombic.

The structure belongs to space group Cmmm (No. 65); the cell edges are 4.8241, 4.8401 and 8.0335 Å and the angles 90.00°, 90.00° and 90.00°. Symmetry generates all atoms from La at (0.0000, 0.0000, 0.2083), Co at (0.0000, 0.5000, 0.0000) and Br at (0.0000, 0.5000, 0.5000).

# 4
First-principles (meta-GGA SCAN) data for La2CoBr at its PBEsol-relaxed geometry, as listed in Alexandria via LeMat-Bulk.

Its crystal system is trigonal.

The structure belongs to space group R-3m (No. 166, hexagonal axes); the cell edges are 3.9774, 3.9774 and 23.2524 Å and the angles 90.00°, 90.00° and 120.00°. Symmetry generates all atoms from La at (0.0000, 0.0000, 0.2314), Co at (0.0000, 0.0000, 0.5000) and Br at (0.0000, 0.0000, 0.0000).

# 5
First-principles (meta-GGA SCAN) data for LiCoBr2 at its PBEsol-relaxed geometry, as listed in Alexandria via LeMat-Bulk.

Its crystal system is tetragonal.

The structure belongs to space group P4/mmm (No. 123); the cell edges are 3.7136, 3.7136 and 5.2566 Å and the angles 90.00°, 90.00° and 90.00°. Symmetry generates all atoms from Li at (0.0000, 0.0000, 0.0000), Co at (0.5000, 0.5000, 0.5000), Br at (0.0000, 0.0000, 0.5000) and Br at (0.5000, 0.5000, 0.0000).

# 6
First-principles (meta-GGA SCAN) data for LiCoBr2 at its PBEsol-relaxed geometry, as listed in Alexandria via LeMat-Bulk.

Its crystal system is tetragonal.

The structure belongs to space group I-4m2 (No. 119); the cell edges are 3.5217, 3.5217 and 14.2321 Å and the angles 90.00°, 90.00° and 90.00°. Symmetry generates all atoms from Li at (0.0000, 0.0000, 0.0000), Co at (0.0000, 0.5000, 0.7500), Br at (0.0000, 0.0000, 0.5000) and Br at (0.0000, 0.5000, 0.2500).

Listing formation energy from raw total energies for the structures above in their given order: -464; 174; -658; -861; -850; -500 meV/atom.
Listing energy for the structures above in their given order: -31.21; -24.12; -31.40; -31.60; -15.50; -15.15 eV per atom.